Compound: Y6Co2Sn
Source: Alexandria via LeMat-Bulk
Functional: PBEsol
Structure: optimized geometry

The value obtained for the formation energy is -310 kJ/mol of formula units.

a = 8.266 Å, b = 8.266 Å, c = 8.266 Å
α = 111.62°, β = 109.57°, γ = 107.26°
Fractional positions:
Y (0.029, 0.236, 0.793)
Y (0.183, 0.284, 0.468)
Y (0.183, 0.716, 0.899)
Y (0.325, 0.011, 0.687)
Y (0.325, 0.638, 0.313)
Y (0.443, 0.236, 0.207)
Y (0.557, 0.764, 0.793)
Y (0.675, 0.362, 0.687)
Y (0.675, 0.989, 0.313)
Y (0.817, 0.284, 0.101)
Y (0.817, 0.716, 0.532)
Y (0.971, 0.764, 0.207)
Co (0.113, 0.613, 0.500)
Co (0.341, 0.000, 0.341)
Co (0.659, 0.000, 0.659)
Co (0.887, 0.387, 0.500)
Sn (0.000, 0.000, 0.000)
Sn (0.500, 0.500, 0.000)

=====

Compound: ZnNi2As
Source: Alexandria via LeMat-Bulk
Functional: PBEsol
Structure: optimized geometry

As for the energy relative to the lowest polymorph listed for this composition: 0.0 meV per atom. The value obtained for the formation energy is 14 kJ/mol of formula units.

a = 4.132 Å, b = 4.132 Å, c = 4.132 Å
α = 60.00°, β = 60.00°, γ = 60.00°
Fractional positions:
Zn (0.000, 0.000, 0.000)
Ni (0.250, 0.250, 0.250)
Ni (0.500, 0.500, 0.500)
As (0.750, 0.750, 0.750)

=====

Compound: Ni3W
Source: Alexandria via LeMat-Bulk
Functional: PBEsol
Structure: optimized geometry

The value obtained for the formation energy is -11 kJ/mol of formula units.

a = 2.606 Å, b = 3.574 Å, c = 5.001 Å
α = 90.00°, β = 90.00°, γ = 90.00°
Fractional positions:
Ni (0.000, 0.000, 0.000)
Ni (0.500, 0.500, 0.242)
Ni (0.500, 0.500, 0.758)
W (0.000, 0.000, 0.500)

=====

Please write out number 3 again, unchanged.
Compound: Ni3W
Source: Alexandria via LeMat-Bulk
Functional: PBEsol
Structure: optimized geometry

The value obtained for the formation energy is -11 kJ/mol of formula units.

a = 2.606 Å, b = 3.574 Å, c = 5.001 Å
α = 90.00°, β = 90.00°, γ = 90.00°
Fractional positions:
Ni (0.000, 0.000, 0.000)
Ni (0.500, 0.500, 0.242)
Ni (0.500, 0.500, 0.758)
W (0.000, 0.000, 0.500)